Record 1
Entry from the Alexandria database: a relaxed CuOs2Ru crystal (PBE).

Output
**Space group**: R3m, No. 160
**E**: -8.748 eV per atom
**Formation energy**: 0.21 eV/atom
**Crystal system**: trigonal
**Total magnetization**: 0.0 μB/cell
**Energy relative to the lowest polymorph listed for this composition**: 2 meV per atom

Cell and atoms, written as CIF:
```
data_CuOs2Ru
_chemical_formula_sum 'Cu1 Os2 Ru1'
_symmetry_space_group_name_H-M 'P 1'
_symmetry_Int_Tables_number 1
_cell_length_a 8.865
_cell_length_b 8.865
_cell_length_c 8.865
_cell_angle_alpha 17.63
_cell_angle_beta 17.63
_cell_angle_gamma 17.63
loop_
_symmetry_equiv_pos_as_xyz
'x,y,z'
loop_
_atom_site_label
_atom_site_type_symbol
_atom_site_fract_x
_atom_site_fract_y
_atom_site_fract_z
Cu1 Cu 0.000 0.000 0.000
Os1 Os 0.249 0.249 0.249
Os2 Os 0.500 0.500 0.500
Ru1 Ru 0.750 0.750 0.750
```

Record 2
Entry from the Alexandria database: a relaxed PmAl2Pt3 crystal (PBE).

Output
**Space group**: Cmcm, No. 63
**E**: -6.114 eV per atom
**Formation energy**: -1.05 eV/atom
**Crystal system**: orthorhombic
**Total magnetization**: 0.0 μB/cell
**Energy relative to the lowest polymorph listed for this composition**: 18 meV per atom

Cell and atoms, written as CIF:
```
data_PmAl2Pt3
_chemical_formula_sum 'Pm2 Al4 Pt6'
_symmetry_space_group_name_H-M 'P 1'
_symmetry_Int_Tables_number 1
_cell_length_a 6.457
_cell_length_b 6.457
_cell_length_c 5.459
_cell_angle_alpha 90.00
_cell_angle_beta 90.00
_cell_angle_gamma 78.21
loop_
_symmetry_equiv_pos_as_xyz
'x,y,z'
loop_
_atom_site_label
_atom_site_type_symbol
_atom_site_fract_x
_atom_site_fract_y
_atom_site_fract_z
Pm1 Pm 0.172 0.828 0.750
Pm2 Pm 0.828 0.172 0.250
Al1 Al 0.285 0.285 0.000
Al2 Al 0.285 0.285 0.500
Al3 Al 0.715 0.715 0.000
Al4 Al 0.715 0.715 0.500
Pt1 Pt 0.037 0.633 0.250
Pt2 Pt 0.367 0.963 0.250
Pt3 Pt 0.468 0.532 0.250
Pt4 Pt 0.532 0.468 0.750
Pt5 Pt 0.633 0.037 0.750
Pt6 Pt 0.963 0.367 0.750
```

Record 3
Entry from the Alexandria database: a relaxed NdGaCu2Pd4 crystal (PBE).

Output
**Space group**: R-3m, No. 166
**E**: -5.075 eV per atom
**Formation energy**: -0.48 eV/atom
**Crystal system**: trigonal
**Total magnetization**: 0.0 μB/cell

Cell and atoms, written as CIF:
```
data_NdGaCu2Pd4
_chemical_formula_sum 'Nd1 Ga1 Cu2 Pd4'
_symmetry_space_group_name_H-M 'P 1'
_symmetry_Int_Tables_number 1
_cell_length_a 8.395
_cell_length_b 8.395
_cell_length_c 8.395
_cell_angle_alpha 30.32
_cell_angle_beta 30.32
_cell_angle_gamma 30.32
loop_
_symmetry_equiv_pos_as_xyz
'x,y,z'
loop_
_atom_site_label
_atom_site_type_symbol
_atom_site_fract_x
_atom_site_fract_y
_atom_site_fract_z
Nd1 Nd 0.000 0.000 0.000
Ga1 Ga 0.500 0.500 0.500
Cu1 Cu 0.246 0.246 0.246
Cu2 Cu 0.754 0.754 0.754
Pd1 Pd 0.131 0.131 0.131
Pd2 Pd 0.398 0.398 0.398
Pd3 Pd 0.602 0.602 0.602
Pd4 Pd 0.869 0.869 0.869
```

Record 4
Entry from the Alexandria database: a relaxed LiTlSe crystal (PBE).

Output
**Space group**: F-43m, No. 216
**E**: -2.900 eV per atom
**Crystal system**: cubic
**Total magnetization**: 0.0 μB/cell
**Energy relative to the lowest polymorph listed for this composition**: 477 meV per atom

Cell and atoms, written as CIF:
```
data_LiTlSe
_chemical_formula_sum 'Li1 Tl1 Se1'
_symmetry_space_group_name_H-M 'P 1'
_symmetry_Int_Tables_number 1
_cell_length_a 4.985
_cell_length_b 4.985
_cell_length_c 4.985
_cell_angle_alpha 60.00
_cell_angle_beta 60.00
_cell_angle_gamma 60.00
loop_
_symmetry_equiv_pos_as_xyz
'x,y,z'
loop_
_atom_site_label
_atom_site_type_symbol
_atom_site_fract_x
_atom_site_fract_y
_atom_site_fract_z
Li1 Li 0.000 0.000 0.000
Tl1 Tl 0.750 0.750 0.750
Se1 Se 0.500 0.500 0.500
```

Record 5
Entry from the Alexandria database: a relaxed HfTl2CuH crystal (PBE).

Output
**Space group**: P4/mmm, No. 123
**E**: -3.839 eV per atom
**Crystal system**: tetragonal
**Total magnetization**: 0.0 μB/cell

Cell and atoms, written as CIF:
```
data_HfTl2CuH
_chemical_formula_sum 'Hf1 Tl2 Cu1 H1'
_symmetry_space_group_name_H-M 'P 1'
_symmetry_Int_Tables_number 1
_cell_length_a 5.737
_cell_length_b 5.737
_cell_length_c 3.606
_cell_angle_alpha 90.00
_cell_angle_beta 90.00
_cell_angle_gamma 90.00
loop_
_symmetry_equiv_pos_as_xyz
'x,y,z'
loop_
_atom_site_label
_atom_site_type_symbol
_atom_site_fract_x
_atom_site_fract_y
_atom_site_fract_z
Hf1 Hf 0.000 0.000 0.000
Tl1 Tl 0.000 0.500 0.000
Tl2 Tl 0.500 0.000 0.000
Cu1 Cu 0.500 0.500 0.500
H1 H 0.000 0.000 0.500
```

Record 6
Entry from the Alexandria database: a relaxed Tb3Dy2Y2 crystal (PBE).

Output
**Space group**: Immm, No. 71
**E**: -5.095 eV per atom
**Formation energy**: 0.05 eV/atom
**Crystal system**: orthorhombic
**Total magnetization**: 0.0 μB/cell
**Energy relative to the lowest polymorph listed for this composition**: 0 meV per atom

Cell and atoms, written as CIF:
```
data_Tb3Dy2Y2
_chemical_formula_sum 'Tb3 Dy2 Y2'
_symmetry_space_group_name_H-M 'P 1'
_symmetry_Int_Tables_number 1
_cell_length_a 12.099
_cell_length_b 12.099
_cell_length_c 12.099
_cell_angle_alpha 163.22
_cell_angle_beta 153.85
_cell_angle_gamma 31.24
loop_
_symmetry_equiv_pos_as_xyz
'x,y,z'
loop_
_atom_site_label
_atom_site_type_symbol
_atom_site_fract_x
_atom_site_fract_y
_atom_site_fract_z
Tb1 Tb 0.000 0.000 0.000
Tb2 Tb 0.276 0.776 0.500
Tb3 Tb 0.724 0.224 0.500
Dy1 Dy 0.421 0.421 0.000
Dy2 Dy 0.579 0.579 0.000
Y1 Y 0.142 0.142 0.000
Y2 Y 0.858 0.858 0.000
```

Record 7
Entry from the Alexandria database: a relaxed Pt4W5 crystal (PBE).

Output
**Space group**: P6_3/mcm, No. 193
**E**: -9.894 eV per atom
**Formation energy**: -0.01 eV/atom
**Crystal system**: hexagonal
**Total magnetization**: 0.0 μB/cell
**Energy relative to the lowest polymorph listed for this composition**: 131 meV per atom

Cell and atoms, written as CIF:
```
data_Pt4W5
_chemical_formula_sum 'Pt8 W10'
_symmetry_space_group_name_H-M 'P 1'
_symmetry_Int_Tables_number 1
_cell_length_a 7.752
_cell_length_b 7.752
_cell_length_c 5.536
_cell_angle_alpha 90.00
_cell_angle_beta 90.00
_cell_angle_gamma 120.00
loop_
_symmetry_equiv_pos_as_xyz
'x,y,z'
loop_
_atom_site_label
_atom_site_type_symbol
_atom_site_fract_x
_atom_site_fract_y
_atom_site_fract_z
Pt1 Pt 0.000 0.000 0.000
Pt2 Pt 0.000 0.000 0.500
Pt3 Pt 0.000 0.332 0.250
Pt4 Pt 0.000 0.668 0.750
Pt5 Pt 0.332 0.000 0.250
Pt6 Pt 0.332 0.332 0.750
Pt7 Pt 0.668 0.000 0.750
Pt8 Pt 0.668 0.668 0.250
W1 W 0.000 0.340 0.750
W2 W 0.000 0.660 0.250
W3 W 0.333 0.667 0.000
W4 W 0.333 0.667 0.500
W5 W 0.340 0.000 0.750
W6 W 0.340 0.340 0.250
W7 W 0.660 0.000 0.250
W8 W 0.660 0.660 0.750
W9 W 0.667 0.333 0.000
W10 W 0.667 0.333 0.500
```

Record 8
Entry from the Alexandria database: a relaxed RePtAu2 crystal (PBE).

Output
**Space group**: P4mm, No. 99
**E**: -6.141 eV per atom
**Formation energy**: 0.12 eV/atom
**Crystal system**: tetragonal
**Total magnetization**: 0.0 μB/cell
**Energy relative to the lowest polymorph listed for this composition**: 0 meV per atom

Cell and atoms, written as CIF:
```
data_RePtAu2
_chemical_formula_sum 'Re1 Pt1 Au2'
_symmetry_space_group_name_H-M 'P 1'
_symmetry_Int_Tables_number 1
_cell_length_a 2.839
_cell_length_b 2.839
_cell_length_c 8.225
_cell_angle_alpha 90.00
_cell_angle_beta 90.00
_cell_angle_gamma 90.00
loop_
_symmetry_equiv_pos_as_xyz
'x,y,z'
loop_
_atom_site_label
_atom_site_type_symbol
_atom_site_fract_x
_atom_site_fract_y
_atom_site_fract_z
Re1 Re 0.000 0.000 0.000
Pt1 Pt 0.500 0.500 0.784
Au1 Au 0.000 0.000 0.520
Au2 Au 0.500 0.500 0.250
```

Record 9
Entry from the Alexandria database: a relaxed Pm2BiPt2 crystal (PBE).

Output
**Space group**: P4/mbm, No. 127
**E**: -6.132 eV per atom
**Formation energy**: -1.04 eV/atom
**Crystal system**: tetragonal
**Total magnetization**: 0.0 μB/cell

Cell and atoms, written as CIF:
```
data_Pm2BiPt2
_chemical_formula_sum 'Pm4 Bi2 Pt4'
_symmetry_space_group_name_H-M 'P 1'
_symmetry_Int_Tables_number 1
_cell_length_a 8.150
_cell_length_b 8.150
_cell_length_c 3.680
_cell_angle_alpha 90.00
_cell_angle_beta 90.00
_cell_angle_gamma 90.00
loop_
_symmetry_equiv_pos_as_xyz
'x,y,z'
loop_
_atom_site_label
_atom_site_type_symbol
_atom_site_fract_x
_atom_site_fract_y
_atom_site_fract_z
Pm1 Pm 0.169 0.331 0.000
Pm2 Pm 0.331 0.831 0.000
Pm3 Pm 0.669 0.169 0.000
Pm4 Pm 0.831 0.669 0.000
Bi1 Bi 0.000 0.000 0.500
Bi2 Bi 0.500 0.500 0.500
Pt1 Pt 0.125 0.625 0.500
Pt2 Pt 0.375 0.125 0.500
Pt3 Pt 0.625 0.875 0.500
Pt4 Pt 0.875 0.375 0.500
```

Record 10
Entry from the Alexandria database: a relaxed PdCl3F crystal (PBE).

Output
**Space group**: Pm-3m, No. 221
**E**: -1.872 eV per atom
**Crystal system**: cubic
**Total magnetization**: 1.4 μB/cell
**Energy relative to the lowest polymorph listed for this composition**: 1092 meV per atom

Cell and atoms, written as CIF:
```
data_PdCl3F
_chemical_formula_sum 'Pd1 Cl3 F1'
_symmetry_space_group_name_H-M 'P 1'
_symmetry_Int_Tables_number 1
_cell_length_a 4.661
_cell_length_b 4.661
_cell_length_c 4.661
_cell_angle_alpha 90.00
_cell_angle_beta 90.00
_cell_angle_gamma 90.00
loop_
_symmetry_equiv_pos_as_xyz
'x,y,z'
loop_
_atom_site_label
_atom_site_type_symbol
_atom_site_fract_x
_atom_site_fract_y
_atom_site_fract_z
Pd1 Pd 0.000 0.000 0.000
Cl1 Cl 0.000 0.500 0.500
Cl2 Cl 0.500 0.000 0.500
Cl3 Cl 0.500 0.500 0.000
F1 F 0.500 0.500 0.500
```

Record 11
Entry from the Alexandria database: a relaxed GdMgCdPt crystal (PBE).

Output
**Space group**: F-43m, No. 216
**E**: -6.274 eV per atom
**Formation energy**: -0.62 eV/atom
**Crystal system**: cubic
**Total magnetization**: 7.2 μB/cell

Cell and atoms, written as CIF:
```
data_GdMgCdPt
_chemical_formula_sum 'Gd1 Mg1 Cd1 Pt1'
_symmetry_space_group_name_H-M 'P 1'
_symmetry_Int_Tables_number 1
_cell_length_a 4.940
_cell_length_b 4.940
_cell_length_c 4.940
_cell_angle_alpha 60.00
_cell_angle_beta 60.00
_cell_angle_gamma 60.00
loop_
_symmetry_equiv_pos_as_xyz
'x,y,z'
loop_
_atom_site_label
_atom_site_type_symbol
_atom_site_fract_x
_atom_site_fract_y
_atom_site_fract_z
Gd1 Gd 0.000 0.000 0.000
Mg1 Mg 0.500 0.500 0.500
Cd1 Cd 0.750 0.750 0.750
Pt1 Pt 0.250 0.250 0.250
```

Record 12
Entry from the Alexandria database: a relaxed Li2YFe crystal (PBE).

Output
**Space group**: P2/m, No. 10
**E**: -4.375 eV per atom
**Formation energy**: 0.31 eV/atom
**Crystal system**: monoclinic
**Total magnetization**: 1.7 μB/cell
**Energy relative to the lowest polymorph listed for this composition**: 77 meV per atom

Cell and atoms, written as CIF:
```
data_Li2YFe
_chemical_formula_sum 'Li2 Y1 Fe1'
_symmetry_space_group_name_H-M 'P 1'
_symmetry_Int_Tables_number 1
_cell_length_a 3.234
_cell_length_b 5.205
_cell_length_c 4.590
_cell_angle_alpha 90.00
_cell_angle_beta 95.60
_cell_angle_gamma 90.00
loop_
_symmetry_equiv_pos_as_xyz
'x,y,z'
loop_
_atom_site_label
_atom_site_type_symbol
_atom_site_fract_x
_atom_site_fract_y
_atom_site_fract_z
Li1 Li 0.207 0.000 0.287
Li2 Li 0.793 0.000 0.713
Y1 Y 0.500 0.500 0.000
Fe1 Fe 0.000 0.500 0.500
```